1.
! CaTa4 (PBE, optimized geometry); values from VASP
! Theoretical density ... 11.06 Mg/m³
! DOS at the Fermi energy ... 1.862 states/eV/atom
! Formation energy ... 2.260 eV/atom
! E above lowest polymorph ... 0 meV per atom
&SYSTEM
  ibrav = 0, nat = 10, ntyp = 2
/
ATOMIC_SPECIES
Ca 40.08 Ca.upf
Ta 180.95 Ta.upf
ATOMIC_POSITIONS angstrom
Ca 0.0000 0.0000 0.0000
Ca 3.0605 3.0605 3.0605
Ta 1.5303 1.5303 1.5303
Ta 1.5303 1.5303 4.5908
Ta 1.5303 4.5908 1.5303
Ta 1.5303 4.5908 4.5908
Ta 4.5908 1.5303 1.5303
Ta 4.5908 1.5303 4.5908
Ta 4.5908 4.5908 1.5303
Ta 4.5908 4.5908 4.5908
CELL_PARAMETERS angstrom
6.1211 0.0000 0.0000
0.0000 6.1211 0.0000
0.0000 0.0000 6.1211

---

2.
! Ca3Ta5 (PBE, optimized geometry); values from VASP
! Theoretical density ... 9.72 Mg/m³
! DOS at the Fermi energy ... 1.110 states/eV/atom
! Formation energy ... 0.758 eV/atom
! E above lowest polymorph ... 0 meV per atom
&SYSTEM
  ibrav = 0, nat = 16, ntyp = 2
/
ATOMIC_SPECIES
Ca 40.08 Ca.upf
Ta 180.95 Ta.upf
ATOMIC_POSITIONS angstrom
Ca 0.0000 0.0000 0.0000
Ca 2.3539 5.1520 1.8011
Ca 2.3640 0.0000 1.8011
Ca 4.7179 5.1520 0.0000
Ca 7.0718 0.0000 1.8011
Ca 7.0819 5.1520 1.8011
Ta 0.0000 2.8982 1.8011
Ta 0.0000 5.1520 0.0000
Ta 0.0000 7.4057 1.8011
Ta 2.3589 2.5760 0.0000
Ta 2.3589 7.7280 0.0000
Ta 4.7179 0.0000 0.0000
Ta 4.7179 2.2537 1.8011
Ta 4.7179 8.0502 1.8011
Ta 7.0768 2.5760 0.0000
Ta 7.0768 7.7280 0.0000
CELL_PARAMETERS angstrom
9.4358 0.0000 0.0000
0.0000 10.3040 0.0000
0.0000 0.0000 3.6022

---

3.
! Ca5Ta4 (PBE, optimized geometry); values from VASP
! Theoretical density ... 6.39 Mg/m³
! DOS at the Fermi energy ... 1.157 states/eV/atom
! Formation energy ... 0.777 eV/atom
! E above lowest polymorph ... 256 meV per atom
&SYSTEM
  ibrav = 0, nat = 18, ntyp = 2
/
ATOMIC_SPECIES
Ca 40.08 Ca.upf
Ta 180.95 Ta.upf
ATOMIC_POSITIONS angstrom
Ca -1.7524 3.0352 1.5523
Ca -2.9717 5.1471 4.6570
Ca 0.0000 5.4549 0.0000
Ca 0.0000 5.4549 3.1047
Ca 3.5048 0.0000 1.5523
Ca 1.7524 3.0352 4.6570
Ca 5.9433 0.0000 4.6570
Ca 2.9717 5.1471 1.5523
Ca 4.7241 2.7274 0.0000
Ca 4.7241 2.7274 3.1047
Ta 0.0000 0.0000 0.0000
Ta 0.0000 0.0000 3.1047
Ta -1.1343 1.9647 4.6570
Ta -3.5897 6.2176 1.5523
Ta 2.2687 0.0000 4.6570
Ta 1.1343 1.9647 1.5523
Ta 7.1794 0.0000 1.5523
Ta 3.5897 6.2176 4.6570
CELL_PARAMETERS angstrom
9.4481 0.0000 0.0000
-4.7241 8.1823 0.0000
0.0000 0.0000 6.2093

---

4.
! CaTb2Ta (PBE, optimized geometry); values from VASP
! Theoretical density ... 7.88 Mg/m³
! DOS at the Fermi energy ... 1.551 states/eV/atom
! Formation energy ... 0.707 eV/atom
&SYSTEM
  ibrav = 0, nat = 12, ntyp = 3
/
ATOMIC_SPECIES
Ca 40.08 Ca.upf
Tb 158.93 Tb.upf
Ta 180.95 Ta.upf
ATOMIC_POSITIONS angstrom
Ca 0.0000 0.0000 0.0000
Ca 0.0000 1.8940 24.3766
Ca 1.6402 0.9470 12.1883
Tb 0.0000 0.0000 15.3659
Tb 0.0000 0.0000 21.1989
Tb 0.0000 1.8940 3.1777
Tb 0.0000 1.8940 9.0106
Tb 1.6402 0.9470 27.5542
Tb 1.6402 0.9470 33.3871
Ta 0.0000 0.0000 18.2824
Ta 0.0000 1.8940 6.0941
Ta 1.6402 0.9470 30.4707
CELL_PARAMETERS angstrom
3.2805 0.0000 0.0000
-1.6402 2.8410 0.0000
0.0000 0.0000 36.5648